(1)
First-principles (PBEsol) data for a relaxed IrOsRu2 crystal, as listed in the Alexandria database.

abc: 2.6809 3.7933 5.3724
angles: 90.00 90.00 90.00
Closest atoms and distances in Å follow each position.
Positions (direct):
Ru 0.0000 0.0000 0.7468  4 Ru 2.65-2.72, 4 Os 2.67, 4 Ir 2.69
Ru 0.0000 0.0000 0.2532  4 Ru 2.65-2.72, 4 Os 2.67, 4 Ir 2.69
Os 0.5000 0.5000 0.5000  8 Ru 2.67, 2 Os 2.68, 2 Ir 2.69
Ir 0.5000 0.5000 0.0000  2 Ir 2.68, 2 Os 2.69, 8 Ru 2.69

Properties
**Energy above the most stable polymorph in this dataset**: 0.001 eV per atom
**Energy of formation from the pure elements**: 0.0367 eV per atom

=====

(2)
First-principles (PBEsol) data for a relaxed RbRePd2S crystal, as listed in the Alexandria database.

abc: 4.4759 4.9740 4.9740
angles: 90.00 90.00 90.00
Closest atoms and distances in Å follow each position.
Positions (direct):
Re 0.0000 0.0000 0.0000  2 S 2.24, 4 Pd 2.49
Pd 0.0000 0.5000 0.0000  2 Re 2.49
Pd 0.0000 0.0000 0.5000  2 Re 2.49
S 0.5000 0.0000 0.0000  2 Re 2.24
Rb 0.5000 0.5000 0.5000  8 Pd 3.35, 4 S 3.52

Properties
**E_form (uncorrected)**: 0.394 eV/atom

=====

(3)
First-principles (PBEsol) data for a relaxed Ta4Ru3 crystal, as listed in the Alexandria database.

abc: 3.1413 3.1413 11.4952
angles: 97.85 97.85 90.00
Closest atoms and distances in Å follow each position.
Positions (direct):
Ta 0.1484 0.1484 0.2969  4 Ru 2.61, 4 Ta 2.84
Ta 0.5701 0.5701 0.1403  4 Ru 2.73, 4 Ta 2.84
Ta 0.4299 0.4299 0.8597  4 Ru 2.73, 4 Ta 2.84
Ta 0.8516 0.8516 0.7031  4 Ru 2.61, 4 Ta 2.84
Ru 0.2906 0.2906 0.5812  4 Ta 2.61, 4 Ru 2.88
Ru 0.7094 0.7094 0.4188  4 Ta 2.61, 4 Ru 2.88
Ru 0.0000 0.0000 0.0000  8 Ta 2.73

Properties
**Energy of formation from the pure elements**: -0.2047 eV per atom

=====

(4)
First-principles (PBEsol) data for a relaxed TaTcAu2 crystal, as listed in the Alexandria database.

abc: 4.5203 4.5203 4.5203
angles: 60.00 60.00 60.00
Closest atoms and distances in Å follow each position.
Positions (direct):
Ta 0.0000 0.0000 0.0000  8 Au 2.77
Au 0.7500 0.7500 0.7500  4 Tc 2.77, 4 Ta 2.77
Au 0.2500 0.2500 0.2500  4 Ta 2.77, 4 Tc 2.77
Tc 0.5000 0.5000 0.5000  8 Au 2.77

Properties
**Energy above the most stable polymorph in this dataset**: 0.096 eV per atom
**Energy of formation from the pure elements**: 0.3287 eV per atom

=====

Respective total energy values: -42.24 -28.69 -82.15 -30.35 eV/f.u..
Respective magnetic moment values: 0.0 0.0 0.0 0.0 μB per cell.